{"formula": "La2ZnNiBi", "functional": "PBE", "state": "optimized geometry", "lattice_angstrom": [[5.389, 0.000, 0.000], [0.000, 5.389, 0.000], [0.000, 0.000, 4.695]], "species": ["La", "La", "Zn", "Ni", "Bi"], "frac_coords": [[0.000, 0.500, 0.000], [0.500, 0.000, 0.000], [0.000, 0.000, 0.500], [0.000, 0.000, 0.000], [0.500, 0.500, 0.500]], "formation_enthalpy_0k_ev_per_atom": -0.55, "total_energy_ev_per_cell": -23.55}

{"formula": "K2LiLa", "functional": "PBE", "state": "optimized geometry", "lattice_angstrom": [[6.441, -1.787, 0.000], [6.441, 1.787, 0.000], [-0.712, 0.000, 7.999]], "species": ["K", "K", "Li", "La"], "frac_coords": [[0.000, 0.000, 0.000], [0.240, 0.240, 0.732], [0.748, 0.748, 0.292], [0.480, 0.480, 0.461]], "formation_enthalpy_0k_ev_per_atom": 0.38, "total_energy_ev_per_cell": -7.51}